1.
{"formula": "LiTmTc2O8", "functional": "PBE", "state": "optimized geometry", "raw_formation_energy_ev_per_atom": -1.865, "m_tot_mub_per_fu": 2.04, "space_group": "P-3m1 (164)", "dos_at_fermi_per_ev_atom": 0.57, "energy_ev_per_atom": -7.4305, "cell": [[5.8980, 0.0000, 0.0000], [-2.9490, 5.1078, 0.0000], [0.0000, 0.0000, 6.1767]], "species": ["Li", "Tm", "Tc", "Tc", "O", "O", "O", "O", "O", "O", "O", "O"], "fractional_positions": [[0.0000, 0.0000, 0.0000], [0.0000, 0.0000, 0.5000], [0.3333, 0.6667, 0.8215], [0.6667, 0.3333, 0.1785], [0.1646, 0.3291, 0.7326], [0.1646, 0.8354, 0.7326], [0.3291, 0.1646, 0.2674], [0.3333, 0.6667, 0.1015], [0.6667, 0.3333, 0.8985], [0.6709, 0.8354, 0.7326], [0.8354, 0.1646, 0.2674], [0.8354, 0.6709, 0.2674]]}

2.
{"formula": "Li2TmTcO6", "functional": "PBE", "state": "optimized geometry", "raw_formation_energy_ev_per_atom": -2.056, "m_tot_mub_per_fu": 0.00, "space_group": "P2_1/c (14)", "energy_ev_per_atom": -6.8972, "cell": [[5.2870, 0.0000, 0.0000], [0.0000, 5.5066, 0.0000], [-5.2698, 0.0000, 7.7419]], "species": ["Li", "Li", "Li", "Li", "Tm", "Tm", "Tc", "Tc", "O", "O", "O", "O", "O", "O", "O", "O", "O", "O", "O", "O"], "fractional_positions": [[0.2311, 0.0217, 0.2411], [0.2311, 0.4783, 0.7411], [0.7689, 0.5217, 0.2589], [0.7689, 0.9783, 0.7589], [0.0000, 0.0000, 0.5000], [0.0000, 0.5000, 0.0000], [0.5000, 0.0000, 0.0000], [0.5000, 0.5000, 0.5000], [0.1500, 0.0603, 0.7703], [0.1500, 0.4397, 0.2703], [0.2503, 0.6576, 0.5566], [0.2503, 0.8424, 0.0566], [0.4260, 0.2008, 0.5715], [0.4260, 0.2992, 0.0715], [0.5740, 0.7008, 0.9285], [0.5740, 0.7992, 0.4285], [0.7497, 0.1576, 0.9434], [0.7497, 0.3424, 0.4434], [0.8500, 0.5603, 0.7297], [0.8500, 0.9397, 0.2297]]}

3.
{"formula": "LiTm2TcO6", "functional": "PBE", "state": "optimized geometry", "raw_formation_energy_ev_per_atom": -2.579, "m_tot_mub_per_fu": 2.00, "space_group": "R3 (146)", "dos_at_fermi_per_ev_atom": 0.62, "energy_ev_per_atom": -7.6758, "cell": [[2.7283, 1.5752, 4.9210], [-2.7283, 1.5752, 4.9210], [0.0000, -3.1503, 4.9210]], "species": ["Li", "Tm", "Tm", "Tc", "O", "O", "O", "O", "O", "O"], "fractional_positions": [[0.0000, 0.0000, 0.0000], [0.2603, 0.2603, 0.2603], [0.7652, 0.7652, 0.7652], [0.4625, 0.4625, 0.4625], [0.0949, 0.6649, 0.3605], [0.2063, 0.5584, 0.8232], [0.3605, 0.0949, 0.6649], [0.5584, 0.8232, 0.2063], [0.6649, 0.3605, 0.0949], [0.8232, 0.2063, 0.5584]]}

4.
{"formula": "LiUTcO6", "functional": "PBE", "state": "optimized geometry", "raw_formation_energy_ev_per_atom": -2.170, "m_tot_mub_per_fu": 2.01, "space_group": "P-31c (163)", "dos_at_fermi_per_ev_atom": 0.35, "energy_ev_per_atom": -8.0945, "cell": [[5.4315, 0.0000, 0.0000], [-2.7158, 4.7038, 0.0000], [0.0000, 0.0000, 9.3141]], "species": ["Li", "Li", "U", "U", "Tc", "Tc", "O", "O", "O", "O", "O", "O", "O", "O", "O", "O", "O", "O"], "fractional_positions": [[0.0000, 0.0000, 0.0000], [0.0000, 0.0000, 0.5000], [0.3333, 0.6667, 0.2500], [0.6667, 0.3333, 0.7500], [0.3333, 0.6667, 0.7500], [0.6667, 0.3333, 0.2500], [0.0157, 0.3667, 0.6379], [0.0157, 0.6490, 0.8621], [0.3510, 0.3667, 0.8621], [0.3510, 0.9843, 0.6379], [0.3667, 0.0157, 0.1379], [0.3667, 0.3510, 0.3621], [0.6333, 0.6490, 0.6379], [0.6333, 0.9843, 0.8621], [0.6490, 0.0157, 0.3621], [0.6490, 0.6333, 0.1379], [0.9843, 0.3510, 0.1379], [0.9843, 0.6333, 0.3621]]}